CaP2Ir2: relaxed, GGA-PBE.

Geometry as POSCAR:
```
CaP2Ir2
1.0
3.0214 -5.5780 0.0000
3.0214 5.5780 0.0000
-1.5273 0.0000 5.5421
Ca P Ir
2 4 4
Direct
0.1119 0.8881 0.7500
0.8881 0.1119 0.2500
0.2281 0.7719 0.2500
0.4853 0.5147 0.2500
0.5147 0.4853 0.7500
0.7719 0.2281 0.7500
0.2005 0.4873 0.9138
0.4873 0.2005 0.4138
0.5127 0.7995 0.5862
0.7995 0.5127 0.0862
```

## Properties
Symmetry: No. 15
Raw total energy (eV for the cell shown): -68.27

***

CoReAu2: relaxed, GGA-PBE.

Geometry as POSCAR:
```
CoReAu2
1.0
4.5744 -1.3744 0.0000
4.5744 1.3744 0.0000
-0.8721 0.0000 4.9004
Co Re Au
1 1 2
Direct
0.0000 0.0000 0.0000
0.2704 0.2704 0.8063
0.5121 0.5121 0.5403
0.7491 0.7491 0.2753
```

## Properties
Symmetry: No. 8
Relative energy among the computed polymorphs (meV/atom): 227